1.
PrSm2Dy | PBE | optimized geometry

The structure belongs to space group P4/mmm (No. 123); the cell edges are 4.2841, 4.2841 and 7.3823 Å and the angles 90.00°, 90.00° and 90.00°. The asymmetric unit holds Pr at (0.0000, 0.0000, 0.0000), Sm at (0.5000, 0.5000, 0.2555) and Dy at (0.0000, 0.0000, 0.5000).

Its crystal system is tetragonal. The calculation puts the density of states at the Fermi level at 2.25 states/eV per atom. The energy of formation from the pure elements comes out at 0.12 eV/atom. The value obtained for the energy above the most stable polymorph in this dataset is 0.103 eV per atom.



2.
PrSm2Dy12 | PBE | optimized geometry

The structure belongs to space group P4/nbm (No. 125, origin choice 2); the cell edges are 6.4159, 6.4159 and 25.0666 Å and the angles 90.00°, 90.00° and 90.00°. The asymmetric unit holds Pr at (0.2500, 0.7500, 0.0000), Sm at (0.2500, 0.7500, 0.2740), Dy at (0.0658, 0.5658, 0.1182), Dy at (0.0816, 0.5816, 0.4395), Dy at (0.2500, 0.2500, 0.2170) and Dy at (0.2500, 0.2500, 0.3408).

Its crystal system is tetragonal. The calculation puts the density of states at the Fermi level at 1.52 states/eV per atom. The energy of formation from the pure elements comes out at 0.31 eV/atom.



3.
PrSm5Dy8 | PBE | optimized geometry

The structure belongs to space group C2/m (No. 12); the cell edges are 17.3730, 3.5506 and 16.8188 Å and the angles 90.00°, 118.07° and 90.00°. The asymmetric unit holds Pr at (0.0000, 0.0000, 0.0000), Sm at (0.0000, 0.5000, 0.5000), Sm at (0.1458, 0.0000, 0.4416), Sm at (0.2143, 0.0000, 0.1444), Dy at (0.0804, 0.5000, 0.2245), Dy at (0.0814, 0.0000, 0.7230), Dy at (0.1471, 0.5000, 0.9399) and Dy at (0.2155, 0.5000, 0.6454).

Its crystal system is monoclinic. The calculation puts the density of states at the Fermi level at 1.41 states/eV per atom. The energy of formation from the pure elements comes out at 0.04 eV/atom.



4.
Pr2SmDy9 | PBE | optimized geometry

The structure belongs to space group P4/mmm (No. 123); the cell edges are 5.0603, 5.0603 and 15.1629 Å and the angles 90.00°, 90.00° and 90.00°. The asymmetric unit holds Pr at (0.0000, 0.0000, 0.1670), Sm at (0.0000, 0.0000, 0.5000), Dy at (0.0000, 0.5000, 0.0000), Dy at (0.0000, 0.5000, 0.3347), Dy at (0.5000, 0.5000, 0.1675) and Dy at (0.5000, 0.5000, 0.5000).

Its crystal system is tetragonal. The calculation puts the density of states at the Fermi level at 1.46 states/eV per atom. The energy of formation from the pure elements comes out at 0.02 eV/atom. The value obtained for the energy above the most stable polymorph in this dataset is 0.000 eV per atom.



5.
Pr2Sm5Dy3 | PBE | optimized geometry

The structure belongs to space group Ibam (No. 72); the cell edges are 9.4838, 21.9706 and 6.8856 Å and the angles 90.00°, 90.00° and 90.00°. The asymmetric unit holds Pr at (0.1016, 0.1229, 0.0000), Sm at (0.0000, 0.2492, 0.2500), Sm at (0.0000, 0.5000, 0.2500), Sm at (0.0915, 0.3741, 0.5000), Dy at (0.0000, 0.0000, 0.2500) and Dy at (0.2488, 0.1214, 0.5000).

Its crystal system is orthorhombic. The calculation puts the density of states at the Fermi level at 1.47 states/eV per atom. The energy of formation from the pure elements comes out at 0.38 eV/atom. The value obtained for the energy above the most stable polymorph in this dataset is 0.190 eV per atom.



6.
Pr12Sm2Dy5 | PBE | optimized geometry

The structure belongs to space group C2/m (No. 12); the cell edges are 16.0568, 9.4141 and 8.8458 Å and the angles 90.00°, 91.90° and 90.00°. The asymmetric unit holds Pr at (0.0621, 0.0000, 0.3430), Pr at (0.0810, 0.5000, 0.8824), Pr at (0.1290, 0.1972, 0.6772), Pr at (0.1514, 0.3182, 0.2374), Sm at (0.0000, 0.1702, 0.0000), Dy at (0.0000, 0.5000, 0.5000), Dy at (0.2037, 0.0000, 0.0300) and Dy at (0.2309, 0.5000, 0.5672).

Its crystal system is monoclinic. The calculation puts the density of states at the Fermi level at 1.35 states/eV per atom. The energy of formation from the pure elements comes out at 0.12 eV/atom. The value obtained for the energy above the most stable polymorph in this dataset is 0.000 eV per atom.



7.
Pr10SmDy4 | PBE | optimized geometry

The structure belongs to space group I4/m (No. 87); the cell edges are 12.4590, 12.4590 and 7.8796 Å and the angles 90.00°, 90.00° and 90.00°. The asymmetric unit holds Pr at (0.0000, 0.5000, 0.2500), Pr at (0.0999, 0.7987, 0.2490), Sm at (0.0000, 0.0000, 0.5000) and Dy at (0.1003, 0.2998, 0.0000).

Its crystal system is tetragonal. The calculation puts the density of states at the Fermi level at 1.52 states/eV per atom. The energy of formation from the pure elements comes out at 0.68 eV/atom.



8.
Pr12SmDy7 | PBE | optimized geometry

The structure belongs to space group R-3 (No. 148, hexagonal axes); the cell edges are 15.3619, 15.3619 and 10.2347 Å and the angles 90.00°, 90.00° and 120.00°. The asymmetric unit holds Pr at (0.0434, 0.8443, 0.2517), Pr at (0.0459, 0.7975, 0.5762), Sm at (0.0000, 0.0000, 0.0000), Dy at (0.0000, 0.0000, 0.5000) and Dy at (0.0665, 0.8213, 0.9260).

Its crystal system is trigonal. The calculation puts the density of states at the Fermi level at 1.69 states/eV per atom. The energy of formation from the pure elements comes out at 0.14 eV/atom. The value obtained for the energy above the most stable polymorph in this dataset is 0.000 eV per atom.



9.
Pr10Sm4Dy | PBE | optimized geometry

The structure belongs to space group I4/m (No. 87); the cell edges are 12.5119, 12.5119 and 7.9023 Å and the angles 90.00°, 90.00° and 90.00°. The asymmetric unit holds Pr at (0.0000, 0.5000, 0.2500), Pr at (0.0991, 0.8007, 0.2490), Sm at (0.1004, 0.2994, 0.5000) and Dy at (0.0000, 0.0000, 0.0000).

Its crystal system is tetragonal. The calculation puts the density of states at the Fermi level at 1.59 states/eV per atom. The energy of formation from the pure elements comes out at 0.69 eV/atom.



10.
Pr6SmDy | PBE | optimized geometry

The structure belongs to space group Fmmm (No. 69); the cell edges are 7.4026, 10.3815 and 14.7322 Å and the angles 90.00°, 90.00° and 90.00°. The asymmetric unit holds Pr at (0.0000, 0.0000, 0.2494), Pr at (0.2500, 0.2500, 0.1231), Sm at (0.0000, 0.0000, 0.5000) and Dy at (0.0000, 0.0000, 0.0000).

Its crystal system is orthorhombic. The calculation puts the density of states at the Fermi level at 1.66 states/eV per atom. The energy of formation from the pure elements comes out at 0.02 eV/atom.



11.
Pr3Sm4Dy4 | PBE | optimized geometry

The structure belongs to space group Immm (No. 71); the cell edges are 3.5848, 11.3733 and 18.7410 Å and the angles 90.00°, 90.00° and 90.00°. The asymmetric unit holds Pr at (0.0000, 0.0000, 0.0000), Pr at (0.0000, 0.5000, 0.1038), Sm at (0.0000, 0.2630, 0.3303), Dy at (0.0000, 0.0000, 0.2273) and Dy at (0.0000, 0.2137, 0.5000).

Its crystal system is orthorhombic. The calculation puts the density of states at the Fermi level at 1.28 states/eV per atom. The energy of formation from the pure elements comes out at 0.17 eV/atom. The value obtained for the energy above the most stable polymorph in this dataset is 0.017 eV per atom.



12.
Pr12SmDy5 | PBE | optimized geometry

The structure belongs to space group Cmmm (No. 65); the cell edges are 15.5075, 15.5632 and 5.1923 Å and the angles 90.00°, 90.00° and 90.00°. The asymmetric unit holds Pr at (0.1642, 0.0000, 0.0000), Pr at (0.1645, 0.1666, 0.5000), Pr at (0.1650, 0.3330, 0.0000), Pr at (0.1656, 0.5000, 0.5000), Sm at (0.0000, 0.5000, 0.0000), Dy at (0.0000, 0.0000, 0.5000), Dy at (0.0000, 0.1668, 0.0000) and Dy at (0.0000, 0.3328, 0.5000).

Its crystal system is orthorhombic. The calculation puts the density of states at the Fermi level at 1.62 states/eV per atom. The energy of formation from the pure elements comes out at 0.02 eV/atom.